Crystalline HfGaCoCu at its relaxed geometry. Source: the Open Quantum Materials Database, functional PBE.

Values from the calculation:
Its energy above the lowest structure with this stoichiometry is 0.1567 eV per atom.

abc: 6.123 6.123 6.123
angles: 90.00 90.00 90.00
Element x y z (fractional)
Hf 0.000 0.000 0.000
Hf 0.000 0.500 0.500
Hf 0.500 0.000 0.500
Hf 0.500 0.500 0.000
Ga 0.250 0.250 0.250
Ga 0.250 0.750 0.750
Ga 0.750 0.250 0.750
Ga 0.750 0.750 0.250
Co 0.000 0.000 0.500
Co 0.000 0.500 0.000
Co 0.500 0.000 0.000
Co 0.500 0.500 0.500
Cu 0.250 0.250 0.750
Cu 0.250 0.750 0.250
Cu 0.750 0.250 0.250
Cu 0.750 0.750 0.750